(1)
A plane-wave DFT calculation with PBE-GGA was carried out for Tb3Sm2PuSe6 after structural relaxation.

Results
Size of the total moment, μB per formula unit: 6.00
Raw total energy, eV per atom: -6.647
V, Å³/atom: 24.87
ΔE_f (raw), eV/atom: -1.77
Crystal system: monoclinic

abc: 4.1057 8.3000 9.2385
angles: 103.21 102.84 90.00
Site moments in Bohr magnetons follow the coordinates.
Element x y z (fractional)
1 Tb 0.1668 0.8354 0.3336  0.02
2 Se 0.9979 0.2516 0.9958  -0.03
3 Se 0.3342 0.4126 0.6684  0.01
4 Tb 0.5000 0.5000 0.0000  0.01
5 Sm 0.8351 0.6696 0.6701  0.03
6 Sm 0.1649 0.3304 0.3299  0.03
7 Se 0.6676 0.0794 0.3352  -0.01
8 Se 0.6658 0.5874 0.3316  0.01
9 Se 0.3324 0.9206 0.6648  -0.01
10 Se 0.0021 0.7484 0.0042  -0.03
11 Pu 0.5000 0.0000 0.0000  5.49
12 Tb 0.8332 0.1646 0.6664  0.02

=====

(2)
A plane-wave DFT calculation with PBE-GGA was carried out for Ce5DySn4 after structural relaxation.

Results
E_form, eV per atom: -0.442
Size of the total moment, μB per formula unit: 4.88
Raw total energy, eV per atom: -5.470
V, Å³/atom: 30.36
Crystal system: orthorhombic

abc: 4.6168 11.9849 10.9735
angles: 90.00 90.00 90.00
Site moments in Bohr magnetons follow the coordinates.
Element x y z (fractional)
1 Sn 0.2853 0.7497 0.5000  -0.04
2 Ce 0.2124 0.1824 0.1887  0.87
3 Dy 0.2785 0.5000 0.5000  0.03
4 Ce 0.2124 0.1824 0.8113  0.87
5 Ce 0.7876 0.3176 0.6887  0.87
6 Ce 0.2124 0.8176 0.1887  0.87
7 Ce 0.2075 0.0000 0.5000  0.71
8 Dy 0.7215 0.0000 0.0000  0.03
9 Sn 0.2853 0.2503 0.5000  -0.04
10 Sn 0.7147 0.7503 0.0000  -0.04
11 Sn 0.2866 0.5000 0.2127  -0.04
12 Ce 0.7876 0.6824 0.3113  0.87
13 Sn 0.7134 0.0000 0.7127  -0.04
14 Sn 0.7147 0.2497 0.0000  -0.04
15 Sn 0.7134 0.0000 0.2873  -0.04
16 Ce 0.2124 0.8176 0.8113  0.87
17 Ce 0.7876 0.3176 0.3113  0.87
18 Ce 0.7876 0.6824 0.6887  0.87
19 Sn 0.2866 0.5000 0.7873  -0.04
20 Ce 0.7925 0.5000 0.0000  0.71

=====

(3)
A plane-wave DFT calculation with PBE-GGA was carried out for KSbPb2Br8 after structural relaxation.

Results
Size of the total moment, μB per formula unit: 0.00
Raw total energy, eV per atom: -3.101
V, Å³/atom: 38.29
ΔE_f (raw), eV/atom: -0.93
Crystal system: monoclinic

abc: 7.2349 6.9108 9.1909
angles: 89.97 89.99 89.13
Element x y z (fractional)
1 Pb 0.4999 0.5001 0.2497
2 Br 0.1546 0.7604 0.2195
3 Br 0.6781 0.7630 0.9998
4 Pb 0.5001 0.4999 0.7503
5 Br 0.3219 0.2370 0.0002
6 Sb 0.0000 0.0000 0.0000
7 Br 0.8454 0.2396 0.7805
8 Br 0.1552 0.7609 0.7806
9 Br 0.8448 0.2391 0.2194
10 Br 0.3644 0.2699 0.5001
11 K 0.0000 0.0000 0.5000
12 Br 0.6356 0.7301 0.4999

=====

(4)
A plane-wave DFT calculation with PBE-GGA was carried out for Nd2Al2GaRh5 after structural relaxation.

Results
E_form, eV per atom: -0.759
Size of the total moment, μB per formula unit: 0.00
Raw total energy, eV per atom: -6.440
V, Å³/atom: 17.38
Crystal system: tetragonal

abc: 3.4255 10.0722 10.0722
angles: 90.00 90.00 90.00
Element x y z (fractional)
1 Nd 0.0000 0.8249 0.6751
2 Rh 0.5000 0.2964 0.5633
3 Nd 0.0000 0.6751 0.1751
4 Rh 0.5000 0.0000 0.5000
5 Rh 0.5000 0.5000 0.0000
6 Nd 0.0000 0.1751 0.3249
7 Nd 0.0000 0.3249 0.8249
8 Rh 0.5000 0.2036 0.0633
9 Al 0.0000 0.6246 0.8754
10 Al 0.0000 0.8754 0.3754
11 Rh 0.5000 0.0633 0.7964
12 Ga 0.0000 0.0000 0.0000
13 Rh 0.5000 0.7036 0.4367
14 Rh 0.5000 0.4367 0.2964
15 Ga 0.0000 0.5000 0.5000
16 Rh 0.5000 0.9367 0.2036
17 Al 0.0000 0.3754 0.1246
18 Rh 0.5000 0.5633 0.7036
19 Rh 0.5000 0.7964 0.9367
20 Al 0.0000 0.1246 0.6246

=====

(5)
A plane-wave DFT calculation with PBE-GGA was carried out for Na2UPdO6 after structural relaxation.

Results
Size of the total moment, μB per formula unit: 0.00
Raw total energy, eV per atom: -6.796
V, Å³/atom: 12.86
ΔE_f (raw), eV/atom: -1.91
Crystal system: trigonal

abc: 5.6536 5.6538 5.6793
angles: 60.13 60.14 60.00
Element x y z (fractional)
1 O 0.4890 0.6381 0.8047
2 O 0.6377 0.0683 0.8046
3 O 0.1434 0.9943 0.2980
4 U 0.8162 0.8162 0.5514
5 Na 0.0644 0.0646 0.8064
6 Pd 0.3162 0.3162 0.0514
7 O 0.0676 0.4893 0.8053
8 Na 0.5676 0.5673 0.2978
9 O 0.5649 0.1431 0.2974
10 O 0.9947 0.5642 0.2981